Density functional theory data (GGA-PBE) for an optimized crystal structure of AcYThAl.

a b c (Å): 5.5595 5.5595 5.5595
angles (deg): 60.00 60.00 60.00
Closest atoms and distances in Å follow each position.
Element x y z (fractional)
Ac: 0.0000 0.0000 0.0000  4 Y 3.40, 4 Th 3.40
Y: 0.7500 0.7500 0.7500  4 Ac 3.40, 4 Al 3.40
Th: 0.2500 0.2500 0.2500  4 Ac 3.40, 4 Al 3.40
Al: 0.5000 0.5000 0.5000  4 Th 3.40, 4 Y 3.40

Summary:
Its volume is 121.5 Å³ per cell. The density of states at the Fermi level comes out at 1.310 states/eV/atom. The energy of formation is 118 meV/atom. The raw total energy comes out at -5.32 eV per atom.